Compound: Sc6Ni5Ru
Source: Alexandria via LeMat-Bulk
Functional: GGA-PBE
Structure: optimized geometry

Cell and atoms, written as POSCAR:
```
Sc6Ni5Ru
1.0
4.2931 -0.0257 1.4307
0.0338 6.2746 0.0113
0.0026 -0.0128 7.1488
Sc Ni Ru
6 5 1
Cartesian
3.6030 4.6814 3.5859 Sc
3.5862 1.5418 3.5803 Sc
2.1550 1.5576 0.7182 Sc
2.1719 4.6913 0.7238 Sc
0.7433 4.6942 5.0105 Sc
0.7264 1.5547 5.0049 Sc
2.8825 3.1116 5.7199 Ni
1.4366 -0.0128 2.8458 Ni
0.0169 3.1373 0.0056 Ni
2.8591 -0.0257 5.7337 Ni
1.4470 3.1244 2.8709 Ni
0.0000 0.0000 0.0000 Ru
```

Values from the calculation:
The energy relative to the elements comes out at -50.9 kJ per mole of atoms.


Compound: ScNiRu2
Source: Alexandria via LeMat-Bulk
Functional: GGA-PBE
Structure: optimized geometry

Cell and atoms, written as POSCAR:
```
ScNiRu2
1.0
5.4136 -0.0253 -0.0006
2.9317 4.5512 0.0006
-3.6912 -3.1507 2.3992
Ni Ru Sc
1 2 1
Cartesian
1.7066 1.8317 1.1999 Ni
0.2699 0.1464 0.0000 Ru
3.9028 2.1166 0.0000 Ru
2.9475 -0.4565 1.1993 Sc
```

Values from the calculation:
The energy relative to the elements comes out at -4.6 kJ per mole of atoms.


Compound: ScNiRu2
Source: Alexandria via LeMat-Bulk
Functional: GGA-PBE
Structure: optimized geometry

Cell and atoms, written as POSCAR:
```
ScNiRu2
1.0
2.8527 0.0000 0.0000
0.0000 2.8527 0.0000
0.0000 0.0000 7.2588
Ni Ru Sc
1 2 1
Cartesian
1.4264 1.4264 5.5574 Ni
0.0000 0.0000 7.2431 Ru
1.4264 1.4264 1.6368 Ru
0.0000 0.0000 3.7096 Sc
```

Values from the calculation:
The energy relative to the elements comes out at -8.4 kJ per mole of atoms.


Compound: ScNiRu2
Source: Alexandria via LeMat-Bulk
Functional: GGA-PBE
Structure: optimized geometry

Cell and atoms, written as POSCAR:
```
ScNiRu2
1.0
-4.3027 -0.4871 -1.0228
0.1459 -2.7396 0.6912
-1.1393 0.4805 4.5641
Ni Ru Sc
1 2 1
Cartesian
-2.8965 -1.9379 3.4300 Ni
-0.9842 -2.1262 5.1532 Ru
-0.5059 -1.2625 2.7297 Ru
-2.3997 -0.8084 0.8024 Sc
```

Values from the calculation:
The energy relative to the elements comes out at -2.3 kJ per mole of atoms.


Compound: Sc5Ni2Ru
Source: Alexandria via LeMat-Bulk
Functional: GGA-PBE
Structure: optimized geometry

Cell and atoms, written as POSCAR:
```
Sc5Ni2Ru
1.0
0.7650 6.4931 0.7428
-1.2493 0.8794 -6.4003
-6.4771 -3.0546 4.2271
Sc Ni Ru
10 4 2
Cartesian
-5.0054 1.8672 -0.9649 Sc
-2.5002 5.2952 -4.3654 Sc
0.0000 0.0000 0.0000 Sc
-0.2422 3.6863 -2.8287 Sc
-4.4611 -0.9772 2.9351 Sc
-4.2660 2.4012 2.3466 Sc
-5.2005 -1.5113 -0.3765 Sc
-2.6954 1.9167 -3.7770 Sc
-1.7608 5.8292 -1.0539 Sc
-1.9560 2.4508 -0.4654 Sc
-0.3746 1.1367 -2.3133 Ni
0.3224 4.1619 -0.3310 Ni
-0.8067 3.2107 -5.3265 Ni
-0.1097 6.2359 -3.3441 Ni
-3.6018 4.0021 -2.1295 Ru
-3.3596 0.3158 0.6992 Ru
```

Values from the calculation:
The energy relative to the elements comes out at -42.2 kJ per mole of atoms.


Compound: ScNiRu
Source: Alexandria via LeMat-Bulk
Functional: GGA-PBE
Structure: optimized geometry

Cell and atoms, written as POSCAR:
```
ScNiRu
1.0
-3.8007 -1.4182 0.9590
1.9849 -1.4653 -3.3599
1.2838 -2.2611 1.7445
Ni Ru Sc
1 1 1
Cartesian
0.2140 -0.3769 0.2908 Ni
-1.6582 -1.8107 -0.1899 Ru
0.9122 -2.9570 -0.7573 Sc
```

Values from the calculation:
The energy relative to the elements comes out at -18.4 kJ per mole of atoms. For the energy above the most stable polymorph in this dataset, the calculation gives 263 meV per atom.


Compound: ScNiRu2
Source: Alexandria via LeMat-Bulk
Functional: GGA-PBE
Structure: optimized geometry

Cell and atoms, written as POSCAR:
```
ScNiRu2
1.0
-4.6268 -0.1594 1.1246
2.3882 -4.5636 -0.3730
0.4052 -0.7115 2.6456
Ni Ru Sc
1 2 1
Cartesian
-1.1193 -2.3615 0.3758 Ni
0.0000 0.0000 0.0000 Ru
-2.1108 -0.4354 1.8851 Ru
1.3967 -2.6376 1.1363 Sc
```

Values from the calculation:
The energy relative to the elements comes out at -4.5 kJ per mole of atoms.


Compound: ScNi6Ru
Source: Alexandria via LeMat-Bulk
Functional: GGA-PBE
Structure: optimized geometry

Cell and atoms, written as POSCAR:
```
ScNi6Ru
1.0
6.3432 -0.0019 0.0000
-2.1194 5.9786 0.0000
0.0000 0.0000 10.3639
Ni Ru Sc
24 4 4
Cartesian
-0.0394 4.5086 5.1182 Ni
4.2365 3.7800 6.4356 Ni
-0.0128 2.1967 6.4356 Ni
4.2631 1.4681 5.1182 Ni
2.0749 0.7213 6.4356 Ni
2.1488 5.2554 6.4356 Ni
2.1119 2.9884 2.5905 Ni
-0.0510 2.2127 3.8521 Ni
2.1028 0.6906 3.8521 Ni
-0.0394 4.5086 0.0638 Ni
4.2747 3.7640 1.3297 Ni
-0.0510 2.2127 1.3297 Ni
4.2631 1.4681 0.0638 Ni
2.1028 0.6907 1.3297 Ni
2.1209 5.2861 1.3297 Ni
2.1119 2.9884 7.7727 Ni
-0.0129 2.1966 9.1103 Ni
2.0749 0.7212 9.1103 Ni
0.0000 0.0000 2.5909 Ni
2.1210 5.2861 3.8521 Ni
4.2747 3.7641 3.8521 Ni
0.0000 0.0000 7.7731 Ni
2.1488 5.2555 9.1103 Ni
4.2366 3.7801 9.1103 Ni
0.0679 4.4328 2.5909 Ru
4.1558 1.5439 2.5909 Ru
0.0000 0.0000 5.1818 Ru
0.0000 0.0000 0.0003 Ru
0.0111 4.4729 7.7730 Sc
4.2126 1.5038 7.7730 Sc
2.1119 2.9884 5.1768 Sc
2.1119 2.9884 0.0046 Sc
```

Values from the calculation:
The energy relative to the elements comes out at -12.6 kJ per mole of atoms.


Compound: Sc2NiRu3
Source: Alexandria via LeMat-Bulk
Functional: GGA-PBE
Structure: optimized geometry

Cell and atoms, written as POSCAR:
```
Sc2NiRu3
1.0
-3.9183 -0.4897 -3.2759
3.9073 -3.3210 -0.1672
-0.6623 -1.0289 4.9712
Sc Ni Ru
2 1 3
Cartesian
-1.5664 -1.7533 -1.8849 Sc
0.8932 -3.0863 3.4129 Sc
0.0000 0.0000 0.0000 Ni
-0.3366 -2.4198 0.7640 Ru
-0.3311 -0.5144 2.4856 Ru
-2.2903 -0.7593 0.8476 Ru
```

Values from the calculation:
The energy relative to the elements comes out at -40.3 kJ per mole of atoms.


Compound: ScNiRu
Source: Alexandria via LeMat-Bulk
Functional: GGA-PBE
Structure: optimized geometry

Cell and atoms, written as POSCAR:
```
ScNiRu
1.0
-3.2377 -1.8225 -1.9316
-1.6605 -3.5137 1.5595
-3.8007 0.0802 1.7560
Ni Ru Sc
1 1 1
Cartesian
0.0000 0.0000 0.0000 Ni
-4.3495 -2.6280 0.6920 Ru
-2.1747 -1.3140 0.3460 Sc
```

Values from the calculation:
The energy relative to the elements comes out at 48.0 kJ per mole of atoms. For the energy above the most stable polymorph in this dataset, the calculation gives 951 meV per atom.


Compound: ScNi2Ru2
Source: Alexandria via LeMat-Bulk
Functional: GGA-PBE
Structure: optimized geometry

Cell and atoms, written as POSCAR:
```
ScNi2Ru2
1.0
3.8586 0.0000 0.0000
0.0000 3.8586 0.0000
1.9293 1.9293 5.2115
Sc Ru Ni
1 2 2
Cartesian
0.0000 0.0000 0.0000 Sc
1.9293 1.9293 1.1272 Ru
3.8586 3.8586 4.0843 Ru
3.8586 1.9293 2.6057 Ni
1.9293 3.8586 2.6057 Ni
```

Values from the calculation:
The energy relative to the elements comes out at 4.3 kJ per mole of atoms. For the energy above the most stable polymorph in this dataset, the calculation gives 49 meV per atom.


Compound: Sc3NiRu2
Source: Alexandria via LeMat-Bulk
Functional: GGA-PBE
Structure: optimized geometry

Cell and atoms, written as POSCAR:
```
Sc3NiRu2
1.0
3.2382 0.0000 0.0000
0.0000 4.2844 -1.4184
0.0000 -0.0290 7.0926
Sc Ni Ru
3 1 2
Cartesian
1.6191 2.1422 -0.7092 Sc
1.6191 3.5434 3.5232 Sc
1.6191 0.7121 2.1511 Sc
0.0000 0.0000 0.0000 Ni
0.0000 1.4189 4.2861 Ru
0.0000 2.8366 1.3882 Ru
```

Values from the calculation:
The energy relative to the elements comes out at -56.1 kJ per mole of atoms.


Compound: Sc2NiRu2
Source: Alexandria via LeMat-Bulk
Functional: GGA-PBE
Structure: optimized geometry

Cell and atoms, written as POSCAR:
```
Sc2NiRu2
1.0
6.4602 0.0000 0.0000
0.0000 6.4602 0.0000
0.0000 0.0000 4.0213
Sc Ru Ni
4 4 2
Cartesian
1.1458 4.3759 2.0106 Sc
4.3759 5.3144 2.0106 Sc
5.3144 2.0843 2.0106 Sc
2.0843 1.1458 2.0106 Sc
2.3480 5.5781 0.0000 Ru
5.5781 4.1122 0.0000 Ru
4.1122 0.8821 0.0000 Ru
0.8821 2.3480 0.0000 Ru
0.0000 0.0000 0.0000 Ni
3.2301 3.2301 0.0000 Ni
```

Values from the calculation:
The energy relative to the elements comes out at -28.7 kJ per mole of atoms.


Compound: ScNiRu2
Source: Alexandria via LeMat-Bulk
Functional: GGA-PBE
Structure: optimized geometry

Cell and atoms, written as POSCAR:
```
ScNiRu2
1.0
4.3579 0.0000 0.0000
2.1789 3.7740 0.0000
2.1789 1.2580 3.5582
Ni Ru Sc
1 2 1
Cartesian
4.3579 2.5160 1.7791 Ni
0.0000 0.0000 0.0000 Ru
2.1789 1.2580 0.8895 Ru
6.5368 3.7740 2.6686 Sc
```

Values from the calculation:
The energy relative to the elements comes out at -6.9 kJ per mole of atoms.


Compound: Sc6NiRu
Source: Alexandria via LeMat-Bulk
Functional: GGA-PBE
Structure: optimized geometry

Cell and atoms, written as POSCAR:
```
Sc6NiRu
1.0
-2.4306 -3.6800 1.1828
0.1114 1.3299 4.3667
-7.9147 2.9394 1.6939
Sc Ni Ru
6 1 1
Cartesian
-5.6565 -0.3175 5.0156 Sc
-7.8240 0.3040 2.4943 Sc
-6.5531 2.8088 4.0863 Sc
-2.4099 0.2854 4.7491 Sc
-4.5774 0.9069 2.2279 Sc
-3.6808 -2.2194 3.1571 Sc
-1.1596 -1.1750 2.7747 Ni
0.0000 0.0000 0.0000 Ru
```

Values from the calculation:
The energy relative to the elements comes out at -24.3 kJ per mole of atoms.


Compound: Sc4NiRu3
Source: Alexandria via LeMat-Bulk
Functional: GGA-PBE
Structure: optimized geometry

Cell and atoms, written as POSCAR:
```
Sc4NiRu3
1.0
-0.0744 -0.7973 -4.4632
4.7307 -4.2502 0.6804
-6.1014 -6.5866 1.2783
Sc Ni Ru
8 2 6
Cartesian
3.5248 -3.5989 -1.7193 Sc
0.4741 -6.8922 -1.0801 Sc
1.1315 -1.4486 -2.0635 Sc
-1.9192 -4.7419 -1.4243 Sc
-1.0141 -8.1403 1.4705 Sc
1.9623 -5.6440 -3.6307 Sc
-0.4311 -3.4938 -3.9749 Sc
-3.4074 -5.9900 1.1262 Sc
2.3653 -2.1251 0.3402 Ni
-0.6854 -5.4184 0.9793 Ni
0.0000 0.0000 0.0000 Ru
-3.0507 -3.2933 0.6391 Ru
-4.6133 -5.3386 -1.2732 Ru
-1.5625 -2.0452 -1.9117 Ru
-2.2479 -7.4639 -0.9338 Ru
0.8028 -4.1702 -1.5707 Ru
```

Values from the calculation:
The energy relative to the elements comes out at -55.2 kJ per mole of atoms.


Compound: ScNiRu
Source: Alexandria via LeMat-Bulk
Functional: GGA-PBE
Structure: optimized geometry

Cell and atoms, written as POSCAR:
```
ScNiRu
1.0
4.6373 0.1003 -0.7675
-1.9224 4.2213 0.7675
-2.7784 -1.2681 5.1570
Sc Ni Ru
2 2 2
Cartesian
-2.6087 1.6389 4.8058 Sc
2.5452 1.4146 0.3512 Sc
-1.3892 -0.6341 2.5785 Ni
-0.0317 1.5267 2.5785 Ni
-1.3644 3.8707 1.7665 Ru
1.3009 -0.8172 3.3905 Ru
```

Values from the calculation:
The energy relative to the elements comes out at -12.4 kJ per mole of atoms. For the energy above the most stable polymorph in this dataset, the calculation gives 325 meV per atom.


Compound: ScNiRu2
Source: Alexandria via LeMat-Bulk
Functional: GGA-PBE
Structure: optimized geometry

Cell and atoms, written as POSCAR:
```
ScNiRu2
1.0
3.7325 0.0000 0.0000
0.0000 2.8345 0.0073
0.0000 2.8139 5.5652
Ni Ru Sc
1 2 1
Cartesian
1.8662 4.2357 4.2189 Ni
0.0000 2.8357 0.0588 Ru
1.8662 1.4135 1.2194 Ru
0.0000 2.8221 2.8691 Sc
```

Values from the calculation:
The energy relative to the elements comes out at -13.0 kJ per mole of atoms.


Compound: ScNiRu
Source: Alexandria via LeMat-Bulk
Functional: GGA-PBE
Structure: optimized geometry

Cell and atoms, written as POSCAR:
```
ScNiRu
1.0
-3.2211 3.1341 -2.2057
-4.9923 -0.5070 0.8887
-2.5955 3.3352 2.8479
Sc Ni Ru
2 2 2
Cartesian
-5.6574 3.8034 -0.5376 Sc
-5.1515 2.1589 2.0685 Sc
-4.1067 1.3135 -0.6585 Ni
-2.9083 3.2347 0.3211 Ni
0.0000 0.0000 0.0000 Ru
-1.6106 1.5671 -1.1028 Ru
```

Values from the calculation:
The energy relative to the elements comes out at -43.8 kJ per mole of atoms. For the energy above the most stable polymorph in this dataset, the calculation gives 0 meV per atom.


Compound: ScNiRu2
Source: Alexandria via LeMat-Bulk
Functional: GGA-PBE
Structure: optimized geometry

Cell and atoms, written as POSCAR:
```
ScNiRu2
1.0
0.0000 3.0734 3.0734
3.0734 0.0000 3.0734
3.0734 3.0734 0.0000
Sc Ru Ni
1 2 1
Cartesian
0.0000 0.0000 0.0000 Sc
1.5367 1.5367 1.5367 Ru
4.6101 4.6101 4.6101 Ru
3.0734 3.0734 3.0734 Ni
```

Values from the calculation:
The energy relative to the elements comes out at 0.0 kJ per mole of atoms.